The following is a DFT calculation (PBE) of a relaxed TmTe3PbAu crystal.

As for the symmetry: No. 63. The value obtained for the energy above the lowest structure with this stoichiometry is 0.005 eV/atom.

The structure in POSCAR format:
```
TmTe3PbAu
1.0
5.296 2.171 -5.198
-7.477 -0.650 1.859
0.230 10.164 4.479
Tm Te Au Pb
2 6 2 2
direct
0.000 0.000 0.000
0.000 0.000 0.500
0.908 0.092 0.750
0.355 0.645 0.452
0.645 0.355 0.548
0.645 0.355 0.952
0.092 0.908 0.250
0.355 0.645 0.048
0.533 0.467 0.750
0.467 0.533 0.250
0.225 0.775 0.750
0.775 0.225 0.250
```

***

The following is a DFT calculation (PBE) of a relaxed TmTe3PbAu crystal.

As for the symmetry: No. 62. The value obtained for the energy above the lowest structure with this stoichiometry is 0.035 eV/atom.

The structure in POSCAR format:
```
TmTe3PbAu
1.0
-3.460 -6.675 -9.428
3.477 1.494 -2.334
7.327 -10.090 4.455
Te Pb Au Tm
12 4 4 4
direct
0.551 0.500 0.900
0.135 0.000 0.968
0.321 0.500 0.694
0.365 0.000 0.468
0.949 0.500 0.400
0.821 0.000 0.806
0.865 0.500 0.032
0.179 0.500 0.194
0.449 0.000 0.100
0.635 0.500 0.532
0.679 0.000 0.306
0.051 0.000 0.600
0.946 0.000 0.223
0.054 0.500 0.777
0.554 0.000 0.723
0.446 0.500 0.277
0.275 0.000 0.808
0.725 0.500 0.192
0.775 0.500 0.692
0.225 0.000 0.308
0.811 0.000 0.516
0.311 0.500 0.984
0.189 0.500 0.484
0.689 0.000 0.016
```

***

The following is a DFT calculation (PBE) of a relaxed TmTe3PbAu crystal.

As for the symmetry: No. 62. The value obtained for the energy above the lowest structure with this stoichiometry is 0.004 eV/atom.

The structure in POSCAR format:
```
TmTe3PbAu
1.0
-9.333 -2.639 5.611
-0.081 -3.830 -1.936
8.127 -5.660 10.856
Pb Tm Te Au
4 4 12 4
direct
0.730 0.750 0.473
0.770 0.250 0.973
0.230 0.750 0.027
0.270 0.250 0.527
0.520 0.250 0.754
0.020 0.250 0.746
0.480 0.750 0.246
0.980 0.750 0.254
0.233 0.750 0.342
0.563 0.750 0.901
0.035 0.250 0.110
0.733 0.750 0.158
0.437 0.250 0.099
0.535 0.250 0.390
0.267 0.250 0.842
0.465 0.750 0.610
0.965 0.750 0.890
0.063 0.750 0.599
0.767 0.250 0.658
0.937 0.250 0.401
0.747 0.250 0.283
0.247 0.250 0.217
0.753 0.750 0.783
0.253 0.750 0.717
```

***

The following is a DFT calculation (PBE) of a relaxed TmTe3PbAu crystal.

As for the symmetry: No. 62. The value obtained for the energy above the lowest structure with this stoichiometry is 0.006 eV/atom.

The structure in POSCAR format:
```
TmTe3PbAu
1.0
10.542 0.000 0.000
0.000 4.416 0.000
0.000 0.000 16.564
Te Pb Tm Au
12 4 4 4
direct
0.021 0.750 0.890
0.153 0.750 0.322
0.979 0.250 0.110
0.521 0.750 0.610
0.850 0.750 0.470
0.350 0.750 0.030
0.347 0.250 0.822
0.479 0.250 0.390
0.150 0.250 0.530
0.847 0.250 0.678
0.650 0.250 0.970
0.653 0.750 0.178
0.054 0.750 0.700
0.946 0.250 0.300
0.554 0.750 0.800
0.446 0.250 0.200
0.328 0.750 0.477
0.828 0.750 0.023
0.672 0.250 0.523
0.172 0.250 0.977
0.739 0.750 0.326
0.239 0.750 0.174
0.261 0.250 0.674
0.761 0.250 0.826
```

***

The following is a DFT calculation (PBE) of a relaxed TmTe3PbAu crystal.

As for the symmetry: No. 12. The value obtained for the energy above the lowest structure with this stoichiometry is 0.031 eV/atom.

The structure in POSCAR format:
```
TmTe3PbAu
1.0
9.885 -2.139 0.000
9.885 2.139 0.000
-1.623 0.000 8.655
Te Tm Pb Au
6 2 2 2
direct
0.321 0.321 0.142
0.000 0.000 0.000
0.679 0.679 0.858
0.689 0.689 0.345
0.500 0.500 0.500
0.311 0.311 0.655
0.159 0.159 0.092
0.841 0.841 0.908
0.125 0.125 0.578
0.875 0.875 0.422
0.447 0.447 0.787
0.553 0.553 0.213
```

***

The following is a DFT calculation (PBE) of a relaxed TmTe3PbAu crystal.

As for the symmetry: No. 11. The value obtained for the energy above the lowest structure with this stoichiometry is 0.000 eV/atom.

The structure in POSCAR format:
```
TmTe3PbAu
1.0
-2.150 -3.889 7.042
4.065 -1.268 0.540
2.757 9.944 2.605
Te Pb Au Tm
6 2 2 2
direct
0.453 0.750 0.157
0.210 0.250 0.465
0.926 0.750 0.126
0.790 0.750 0.535
0.547 0.250 0.843
0.074 0.250 0.874
0.772 0.250 0.291
0.228 0.750 0.709
0.598 0.250 0.599
0.402 0.750 0.401
0.796 0.750 0.821
0.204 0.250 0.179
```

***

The following is a DFT calculation (PBE) of a relaxed TlPb5Au3 crystal.

Its total energy is -3.394 eV per atom. As for the symmetry: No. 191.

The structure in POSCAR format:
```
TlPb5Au3
1.0
5.898 0.000 0.000
-2.949 5.108 0.000
0.000 0.000 8.509
Pb Au Tl
5 3 1
direct
0.333 0.667 0.199
0.667 0.333 0.801
0.333 0.667 0.801
0.000 0.000 0.500
0.667 0.333 0.199
0.000 0.500 0.500
0.500 0.000 0.500
0.500 0.500 0.500
0.000 0.000 0.000
```

***

The following is a DFT calculation (PBE) of a relaxed Pb5W3Au crystal.

Its total energy is -6.136 eV per atom. As for the symmetry: No. 191.

The structure in POSCAR format:
```
Pb5W3Au
1.0
5.562 0.000 0.000
-2.781 4.817 0.000
0.000 0.000 8.660
Au Pb W
1 5 3
direct
0.000 0.000 0.000
0.333 0.667 0.199
0.333 0.667 0.801
0.667 0.333 0.199
0.000 0.000 0.500
0.667 0.333 0.801
0.500 0.000 0.500
0.500 0.500 0.500
0.000 0.500 0.500
```

***

The following is a DFT calculation (PBE) of a relaxed YPb2Au crystal.

Its total energy is -4.563 eV per atom. As for the symmetry: No. 216.

The structure in POSCAR format:
```
YPb2Au
1.0
-3.996 -1.828 -2.989
-0.925 -5.225 -0.292
-4.317 -2.067 2.311
Pb Au Y
2 1 1
direct
0.750 0.750 0.750
0.500 0.500 0.500
0.250 0.250 0.250
0.000 0.000 0.000
```

***

The following is a DFT calculation (PBE) of a relaxed ZnPb2Au crystal.

Its total energy is -2.820 eV per atom. As for the symmetry: No. 216.

The structure in POSCAR format:
```
ZnPb2Au
1.0
0.000 3.663 3.663
3.663 0.000 3.663
3.663 3.663 0.000
Au Pb Zn
1 2 1
direct
0.750 0.750 0.750
0.250 0.250 0.250
0.500 0.500 0.500
0.000 0.000 0.000
```

***

The following is a DFT calculation (PBE) of a relaxed ZnPbAu2 crystal.

Its total energy is -2.809 eV per atom. As for the symmetry: No. 216.

The structure in POSCAR format:
```
ZnPbAu2
1.0
0.000 3.464 3.464
3.464 0.000 3.464
3.464 3.464 0.000
Au Zn Pb
2 1 1
direct
0.000 0.000 0.000
0.750 0.750 0.750
0.250 0.250 0.250
0.500 0.500 0.500
```

***

The following is a DFT calculation (PBE) of a relaxed Zr3Pb5Au crystal.

Its total energy is -5.039 eV per atom. As for the symmetry: No. 191.

The structure in POSCAR format:
```
Zr3Pb5Au
1.0
6.046 0.000 0.000
-3.023 5.236 0.000
0.000 0.000 8.121
Pb Zr Au
5 3 1
direct
0.667 0.333 0.180
0.000 0.000 0.500
0.333 0.667 0.180
0.333 0.667 0.820
0.667 0.333 0.820
0.000 0.500 0.500
0.500 0.000 0.500
0.500 0.500 0.500
0.000 0.000 0.000
```

***

The following is a DFT calculation (PBE) of a relaxed Zr2PbAu crystal.

Its total energy is -5.831 eV per atom. As for the symmetry: No. 216.

The structure in POSCAR format:
```
Zr2PbAu
1.0
-2.431 0.054 4.437
-4.336 -2.551 0.540
-0.141 -4.173 2.859
Zr Au Pb
2 1 1
direct
0.750 0.750 0.750
0.000 0.000 0.000
0.250 0.250 0.250
0.500 0.500 0.500
```

***

The following is a DFT calculation (PBE) of a relaxed Zr2Pb2Au crystal.

Its total energy is -5.231 eV per atom. As for the symmetry: No. 139.

The structure in POSCAR format:
```
Zr2Pb2Au
1.0
5.309 -4.850 0.690
2.038 -3.904 5.725
-5.587 2.165 -4.035
Au Pb Zr
1 2 2
direct
0.000 0.000 0.000
0.250 0.750 0.500
0.750 0.250 0.500
0.409 0.409 0.000
0.591 0.591 0.000
```

***

The following is a DFT calculation (PBE) of a relaxed Zr3Pb4Au4 crystal.

As for the symmetry: No. 6. The value obtained for the energy above the lowest structure with this stoichiometry is 0.032 eV/atom.

The structure in POSCAR format:
```
Zr3Pb4Au4
1.0
7.071 0.000 -0.095
0.000 4.559 0.000
-0.115 0.000 8.089
Au Pb Zr
4 4 3
direct
0.274 0.250 0.407
0.612 0.250 0.069
0.721 0.750 0.586
0.386 0.750 0.924
0.177 0.750 0.617
0.798 0.250 0.392
0.817 0.750 0.924
0.177 0.250 0.037
0.031 0.750 0.256
0.492 0.750 0.279
0.512 0.250 0.707
```

***

The following is a DFT calculation (PBE) of a relaxed Zr3Pb4Au4 crystal.

As for the symmetry: No. 121. The value obtained for the energy above the lowest structure with this stoichiometry is 0.000 eV/atom.

The structure in POSCAR format:
```
Zr3Pb4Au4
1.0
0.000 6.579 0.000
-6.579 0.000 0.000
-3.290 3.290 6.573
Pb Zr Au
4 3 4
direct
0.500 0.000 0.000
0.228 0.228 0.545
0.000 0.500 0.000
0.772 0.772 0.455
0.250 0.750 0.500
0.750 0.250 0.500
0.500 0.500 0.000
0.605 0.138 0.257
0.395 0.395 0.743
0.138 0.605 0.257
0.862 0.862 0.743
```

***

The following is a DFT calculation (PBE) of a relaxed PdAu2 crystal.

As for the symmetry: No. 139. The energy of formation is -7 kJ/mol of atoms. The value obtained for the energy above the lowest structure with this stoichiometry is 0.012 eV/atom.

The structure in POSCAR format:
```
PdAu2
1.0
-1.517 1.517 5.578
1.517 -1.517 5.578
1.517 1.517 -5.578
Au Pd
2 1
direct
0.663 0.663 0.000
0.337 0.337 0.000
0.000 0.000 0.000
```

***

The following is a DFT calculation (PBE) of a relaxed Pd2Au crystal.

As for the symmetry: No. 227. The energy of formation is 11 kJ/mol of atoms. The value obtained for the energy above the lowest structure with this stoichiometry is 0.146 eV/atom.

The structure in POSCAR format:
```
Pd2Au
1.0
0.000 3.684 3.684
3.684 0.000 3.684
3.684 3.684 0.000
Au Pd
2 4
direct
0.250 0.250 0.250
0.000 0.000 0.000
0.625 0.625 0.625
0.625 0.125 0.625
0.625 0.625 0.125
0.125 0.625 0.625
```

***

The following is a DFT calculation (PBE) of a relaxed PdAu2 crystal.

As for the symmetry: No. 191. The energy of formation is 0 kJ/mol of atoms. The value obtained for the energy above the lowest structure with this stoichiometry is 0.090 eV/atom.

The structure in POSCAR format:
```
PdAu2
1.0
4.675 0.000 0.000
-2.338 4.049 0.000
0.000 0.000 2.779
Au Pd
2 1
direct
0.667 0.333 0.500
0.333 0.667 0.500
0.000 0.000 0.000
```

***

The following is a DFT calculation (PBE) of a relaxed Pd3Au crystal.

As for the symmetry: No. 123. The energy of formation is -5 kJ/mol of atoms. The value obtained for the energy above the lowest structure with this stoichiometry is 0.001 eV/atom.

The structure in POSCAR format:
```
Pd3Au
1.0
3.991 0.000 0.000
0.000 3.991 0.000
0.000 0.000 3.973
Pd Au
3 1
direct
0.500 0.500 0.000
0.000 0.500 0.500
0.500 0.000 0.500
0.000 0.000 0.000
```